Entry from Alexandria via LeMat-Bulk: a geometry-optimized AsIrI2N structure (GGA-PBEsol).

Crystal system ... tetragonal
Magnetization ... 0.00 μB per formula unit
Formation energy without anion corrections ... 1.42 eV/atom

```
data_AsIrI2N
_symmetry_space_group_name_H-M 'P 4/m m m'
_symmetry_Int_Tables_number 123
_symmetry_space_group_name_Hall '-P 4 2'
_cell_length_a 5.471
_cell_length_b 5.471
_cell_length_c 3.506
_cell_angle_alpha 90.00
_cell_angle_beta 90.00
_cell_angle_gamma 90.00
loop_
_atom_site_label
_atom_site_fract_x
_atom_site_fract_y
_atom_site_fract_z
_atom_site_occupancy
As1 0.000 0.000 0.000 1
Ir1 0.500 0.500 0.500 1
I1 0.000 0.500 0.000 1
N1 0.000 0.000 0.500 1
```


Entry from Alexandria via LeMat-Bulk: a geometry-optimized AsIrIO2 structure (GGA-PBEsol).

Crystal system ... tetragonal
Magnetization ... 0.00 μB per formula unit
Formation energy without anion corrections ... 0.10 eV/atom

```
data_AsIrIO2
_symmetry_space_group_name_H-M 'P 4/m m m'
_symmetry_Int_Tables_number 123
_symmetry_space_group_name_Hall '-P 4 2'
_cell_length_a 3.778
_cell_length_b 3.778
_cell_length_c 7.585
_cell_angle_alpha 90.00
_cell_angle_beta 90.00
_cell_angle_gamma 90.00
loop_
_atom_site_label
_atom_site_fract_x
_atom_site_fract_y
_atom_site_fract_z
_atom_site_occupancy
As1 0.000 0.000 0.000 1
Ir1 0.500 0.500 0.500 1
I1 0.500 0.500 0.000 1
O1 0.000 0.500 0.500 1
```


Entry from Alexandria via LeMat-Bulk: a geometry-optimized As2IrSeI structure (GGA-PBEsol).

Crystal system ... tetragonal
Magnetization ... 0.72 μB per formula unit
Formation energy without anion corrections ... 2.13 eV/atom

```
data_As2IrSeI
_symmetry_space_group_name_H-M 'P 4/m m m'
_symmetry_Int_Tables_number 123
_symmetry_space_group_name_Hall '-P 4 2'
_cell_length_a 5.155
_cell_length_b 5.155
_cell_length_c 5.096
_cell_angle_alpha 90.00
_cell_angle_beta 90.00
_cell_angle_gamma 90.00
loop_
_atom_site_label
_atom_site_fract_x
_atom_site_fract_y
_atom_site_fract_z
_atom_site_occupancy
As1 0.000 0.500 0.000 1
Ir1 0.000 0.000 0.500 1
Se1 0.500 0.500 0.500 1
I1 0.500 0.500 0.000 1
```


Entry from Alexandria via LeMat-Bulk: a geometry-optimized KTeAsI2 structure (GGA-PBEsol).

Crystal system ... tetragonal
Magnetization ... 0.05 μB per formula unit
Formation energy without anion corrections ... 0.76 eV/atom

```
data_KTeAsI2
_symmetry_space_group_name_H-M 'P 4/m m m'
_symmetry_Int_Tables_number 123
_symmetry_space_group_name_Hall '-P 4 2'
_cell_length_a 6.215
_cell_length_b 6.215
_cell_length_c 6.435
_cell_angle_alpha 90.00
_cell_angle_beta 90.00
_cell_angle_gamma 90.00
loop_
_atom_site_label
_atom_site_fract_x
_atom_site_fract_y
_atom_site_fract_z
_atom_site_occupancy
K1 0.000 0.000 0.000 1
Te1 0.000 0.000 0.500 1
As1 0.500 0.500 0.500 1
I1 0.000 0.500 0.000 1
```


Entry from Alexandria via LeMat-Bulk: a geometry-optimized K2TlAsI6 structure (GGA-PBEsol).

Crystal system ... cubic
Magnetization ... 0.00 μB per formula unit
Formation energy without anion corrections ... -0.71 eV/atom

```
data_K2TlAsI6
_symmetry_space_group_name_H-M 'F m -3 m'
_symmetry_Int_Tables_number 225
_symmetry_space_group_name_Hall '-F 4 2 3'
_cell_length_a 11.964
_cell_length_b 11.964
_cell_length_c 11.964
_cell_angle_alpha 90.00
_cell_angle_beta 90.00
_cell_angle_gamma 90.00
loop_
_atom_site_label
_atom_site_fract_x
_atom_site_fract_y
_atom_site_fract_z
_atom_site_occupancy
K1 0.250 0.250 0.250 1
Tl1 0.000 0.000 0.000 1
As1 0.000 0.000 0.500 1
I1 0.000 0.000 0.264 1
```


Entry from Alexandria via LeMat-Bulk: a geometry-optimized LaSbAsI2 structure (GGA-PBEsol).

Crystal system ... tetragonal
Magnetization ... 0.18 μB per formula unit
Formation energy without anion corrections ... -0.16 eV/atom

```
data_LaSbAsI2
_symmetry_space_group_name_H-M 'P 4/m m m'
_symmetry_Int_Tables_number 123
_symmetry_space_group_name_Hall '-P 4 2'
_cell_length_a 5.436
_cell_length_b 5.436
_cell_length_c 5.512
_cell_angle_alpha 90.00
_cell_angle_beta 90.00
_cell_angle_gamma 90.00
loop_
_atom_site_label
_atom_site_fract_x
_atom_site_fract_y
_atom_site_fract_z
_atom_site_occupancy
La1 0.000 0.000 0.000 1
Sb1 0.500 0.500 0.000 1
As1 0.500 0.500 0.500 1
I1 0.000 0.500 0.500 1
```